A relaxed structure of MgBi2P2, computed with PBE.

The structure in extended XYZ format:
```
10
Lattice="7.629 0.000 0.000 0.000 7.629 0.000 0.000 0.000 4.131" Properties=species:S:1:pos:R:3 pbc="T T T"
Mg 0.000 0.000 0.000
Mg 3.814 3.814 0.000
Bi 1.207 2.607 2.066
Bi 2.607 6.421 2.066
Bi 5.021 1.207 2.066
Bi 6.421 5.021 2.066
P 1.312 5.126 0.000
P 2.502 1.312 0.000
P 5.126 6.316 0.000
P 6.316 2.502 0.000
```

* energy above the most stable polymorph in this dataset: 0.00 eV per formula unit
* density: 7.0 g/cm³
* size of the total moment: 0.0 μB/f.u.
* crystal system: tetragonal
* formation energy from the elements: 0.12 eV per atom